(1)
First-principles (PBE) data for NdSm5Ga4 after structural relaxation, as listed in Alexandria.

## Properties
Its space group is C2/m. As for the energy above the most stable polymorph in this dataset: 0.178 eV per atom.

Cell lengths 3.7940, 8.9113, 9.0695 Å; angles 96.99, 102.07, 90.00 degrees
With the nearest neighbours (Å) after each atom.
Sites, in units of the cell vectors:
Ga 0.3116 0.9477 0.6232  5 Sm 3.08-3.15, 2 Ga 3.12, 1 Nd 3.32
Ga 0.0231 0.2597 0.0461  4 Sm 2.91-3.04, 2 Nd 2.98
Ga 0.9769 0.7403 0.9539  4 Sm 2.91-3.04, 2 Nd 2.98
Ga 0.6884 0.0523 0.3768  5 Sm 3.08-3.15, 2 Ga 3.12, 1 Nd 3.32
Sm 0.8505 0.2220 0.7011  4 Ga 3.04-3.10
Sm 0.1873 0.3349 0.3747  3 Ga 2.91-3.15
Sm 0.5000 0.5000 0.0000  4 Ga 2.93
Sm 0.1495 0.7780 0.2989  4 Ga 3.04-3.10
Sm 0.8127 0.6651 0.6253  3 Ga 2.91-3.15
Nd 0.5000 0.0000 0.0000  6 Ga 2.98-3.32

---

(2)
First-principles (PBE) data for NdSm4Ga after structural relaxation, as listed in Alexandria.

## Properties
Its space group is C2/c. As for the energy above the most stable polymorph in this dataset: 0.059 eV per atom.

Cell lengths 6.3919, 9.1579, 8.2439 Å; angles 114.29, 100.44, 111.83 degrees
With the nearest neighbours (Å) after each atom.
Sites, in units of the cell vectors:
Sm 0.2456 0.6173 0.7883  2 Ga 3.20, 2 Sm 3.38-3.56, 1 Nd 3.44
Sm 0.2293 0.2815 0.3591  2 Ga 3.06-3.09, 1 Sm 3.38
Sm 0.0428 0.1711 0.7883  2 Ga 3.20, 2 Sm 3.38-3.56, 1 Nd 3.44
Sm 0.3701 0.9224 0.6409  2 Ga 3.06-3.09, 1 Sm 3.38
Sm 0.6299 0.0776 0.3591  2 Ga 3.06-3.09, 1 Sm 3.38
Sm 0.7544 0.3827 0.2117  2 Ga 3.20, 2 Sm 3.38-3.56, 1 Nd 3.44
Sm 0.7707 0.7185 0.6409  2 Ga 3.06-3.09, 1 Sm 3.38
Sm 0.9572 0.8289 0.2117  2 Ga 3.20, 2 Sm 3.38-3.56, 1 Nd 3.44
Nd 0.3517 0.6017 0.2034  10 Sm 3.44-3.81
Nd 0.6483 0.3983 0.7966  10 Sm 3.44-3.81
Ga 0.7498 0.9998 0.9995  8 Sm 3.06-3.20, 2 Ga 3.20
Ga 0.2502 0.0002 0.0005  8 Sm 3.06-3.20, 2 Ga 3.20

---

(3)
First-principles (PBE) data for Nd3SmGa2 after structural relaxation, as listed in Alexandria.

## Properties
Its space group is Pmc2_1. As for the energy above the most stable polymorph in this dataset: 0.000 eV per atom.

Cell lengths 5.1725, 6.7161, 9.7194 Å; angles 90.00, 90.00, 90.00 degrees
With the nearest neighbours (Å) after each atom.
Sites, in units of the cell vectors:
Nd 0.0000 0.3161 0.3323  4 Ga 3.08-3.21
Nd 0.0000 0.8161 0.6677  4 Ga 3.08-3.21
Nd 0.0000 0.4830 0.9473  3 Ga 3.15-3.17, 5 Nd 3.47-3.52
Nd 0.0000 0.9830 0.0527  3 Ga 3.15-3.17, 5 Nd 3.47-3.52
Nd 0.5000 0.6836 0.1710  4 Ga 3.13-3.20, 2 Nd 3.47, 1 Sm 3.47
Nd 0.5000 0.1836 0.8290  4 Ga 3.13-3.20, 2 Nd 3.47, 1 Sm 3.47
Ga 0.5000 0.7108 0.8497  6 Nd 3.13-3.21, 1 Sm 3.15
Ga 0.0000 0.7905 0.3508  5 Nd 3.08-3.20, 2 Sm 3.13
Ga 0.5000 0.2108 0.1503  6 Nd 3.13-3.21, 1 Sm 3.15
Ga 0.0000 0.2905 0.6492  5 Nd 3.08-3.20, 2 Sm 3.13
Sm 0.5000 0.5159 0.5550  3 Ga 3.13-3.15, 3 Nd 3.46-3.47
Sm 0.5000 0.0159 0.4450  3 Ga 3.13-3.15, 3 Nd 3.46-3.47

---

(4)
First-principles (PBE) data for Nd3Sm4Ga4 after structural relaxation, as listed in Alexandria.

## Properties
Its space group is Immm.

Cell lengths 4.3975, 8.1479, 9.8616 Å; angles 114.40, 102.88, 90.00 degrees
With the nearest neighbours (Å) after each atom.
Sites, in units of the cell vectors:
Sm 0.3338 0.1338 0.6676  4 Ga 2.93-3.03, 1 Sm 3.26
Sm 0.6662 0.4662 0.3324  4 Ga 2.93-3.03, 1 Sm 3.26
Sm 0.3338 0.5338 0.6676  4 Ga 2.93-3.03, 1 Sm 3.26
Sm 0.6662 0.8662 0.3324  4 Ga 2.93-3.03, 1 Sm 3.26
Ga 0.5000 0.1891 0.0000  2 Sm 3.03, 1 Ga 3.08, 6 Nd 3.26-3.35
Ga 0.5000 0.8109 0.0000  2 Sm 3.03, 1 Ga 3.08, 6 Nd 3.26-3.35
Ga 0.7594 0.2594 0.5188  6 Sm 2.93-3.03
Ga 0.2406 0.7406 0.4812  6 Sm 2.93-3.03
Nd 0.8934 0.8934 0.7868  6 Ga 3.26-3.45, 4 Sm 3.45
Nd 0.1066 0.1066 0.2132  6 Ga 3.26-3.45, 4 Sm 3.45
Nd 0.0000 0.5000 0.0000  4 Ga 3.35

---

(5)
First-principles (PBE) data for Nd2SmGa2 after structural relaxation, as listed in Alexandria.

## Properties
Its space group is C2/m. As for the energy above the most stable polymorph in this dataset: 0.117 eV per atom.

Cell lengths 3.7541, 6.1079, 6.5408 Å; angles 101.50, 106.68, 90.00 degrees
With the nearest neighbours (Å) after each atom.
Sites, in units of the cell vectors:
Nd 0.6351 0.5689 0.2702  4 Ga 3.13-3.21, 1 Nd 3.32
Nd 0.3649 0.4311 0.7298  4 Ga 3.13-3.21, 1 Nd 3.32
Ga 0.7037 0.1049 0.4075  2 Ga 2.67
Ga 0.2963 0.8951 0.5925  2 Ga 2.67
Sm 0.0000 0.0000 0.0000  4 Ga 3.13

---

(6)
First-principles (PBE) data for NdSm2Ga after structural relaxation, as listed in Alexandria.

## Properties
Its space group is P4/mmm. As for the energy above the most stable polymorph in this dataset: 0.030 eV per atom.

Cell lengths 4.8066, 4.8347, 4.8347 Å; angles 90.00, 90.00, 90.00 degrees
With the nearest neighbours (Å) after each atom.
Sites, in units of the cell vectors:
Ga 0.5000 0.0000 0.0000  8 Sm 3.41, 4 Nd 3.42
Sm 0.0000 0.5000 0.0000  4 Nd 3.41, 4 Ga 3.41, 4 Sm 3.42
Sm 0.0000 0.0000 0.5000  4 Nd 3.41, 4 Ga 3.41, 4 Sm 3.42
Nd 0.5000 0.5000 0.5000  8 Sm 3.41, 4 Ga 3.42

---

(7)
First-principles (PBE) data for NdSm2Ga6 after structural relaxation, as listed in Alexandria.

## Properties
Its space group is Immm. As for the energy above the most stable polymorph in this dataset: 0.213 eV per atom.

Cell lengths 4.4063, 7.1919, 7.9140 Å; angles 117.03, 106.16, 90.00 degrees
With the nearest neighbours (Å) after each atom.
Sites, in units of the cell vectors:
Ga 0.5000 0.1838 0.0000  3 Ga 2.58-2.64
Ga 0.3198 0.1287 0.6396  2 Ga 2.58-2.75
Ga 0.5000 0.8162 0.0000  3 Ga 2.58-2.64
Ga 0.6802 0.4891 0.3604  2 Ga 2.58-2.75
Ga 0.6802 0.8713 0.3604  2 Ga 2.58-2.75
Ga 0.3198 0.5109 0.6396  2 Ga 2.58-2.75
Nd 0.0000 0.5000 0.0000  12 Ga 3.17-3.55
Sm 0.1291 0.1291 0.2582  10 Ga 2.90-3.20
Sm 0.8709 0.8709 0.7418  10 Ga 2.90-3.20

---

(8)
First-principles (PBE) data for NdSm2Ga2 after structural relaxation, as listed in Alexandria.

## Properties
Its space group is P4/mbm. As for the energy above the most stable polymorph in this dataset: 0.000 eV per atom.

Cell lengths 4.4855, 7.7961, 7.7961 Å; angles 90.00, 90.00, 90.00 degrees
With the nearest neighbours (Å) after each atom.
Sites, in units of the cell vectors:
Ga 0.0000 0.1175 0.3825  1 Ga 2.59
Ga 0.0000 0.8825 0.6175  1 Ga 2.59
Ga 0.0000 0.6175 0.1175  1 Ga 2.59
Ga 0.0000 0.3825 0.8825  1 Ga 2.59
Nd 0.0000 0.0000 0.0000  4 Ga 3.12
Nd 0.0000 0.5000 0.5000  4 Ga 3.12
Sm 0.5000 0.8259 0.3259  6 Ga 3.21-3.22
Sm 0.5000 0.3259 0.1741  6 Ga 3.21-3.22
Sm 0.5000 0.6741 0.8259  6 Ga 3.21-3.22
Sm 0.5000 0.1741 0.6741  6 Ga 3.21-3.22

---

Number 1: energy -0.1584 Ha/atom. Number 2: energy -0.1673 Ha/atom. Number 3: energy -0.1680 Ha/atom. Number 4: energy -0.1639 Ha/atom. Number 5: energy -0.1623 Ha/atom. Number 6: energy -0.1669 Ha/atom. Number 7: energy -0.1493 Ha/atom. Number 8: energy -0.1665 Ha/atom.